[1]
# Sm5Ho5Th2

A relaxed structure of Sm5Ho5Th2 (PBE-GGA, the Alexandria database).

Properties
Its space-group type is C2/m. For the uncorrected energy, the calculation gives -5.080 eV per atom. The crystal system is monoclinic. The value obtained for the calculated volume is 389.18 Å³ per cell.

abc: 5.0587 10.7323 8.0053
angles: 98.36 71.58 76.37
Atoms (fractional coordinates):
Sm (0.9959, 0.2540, 0.7543)
Sm (0.0041, 0.7460, 0.2457)
Sm (0.3334, 0.7484, 0.5848)
Sm (0.0000, 0.0000, 0.0000)
Sm (0.6666, 0.2516, 0.4152)
Ho (0.0000, 0.5000, 0.5000)
Ho (0.6655, 0.0021, 0.6669)
Ho (0.3345, 0.9979, 0.3331)
Ho (0.6697, 0.7450, 0.9155)
Ho (0.3303, 0.2550, 0.0845)
Th (0.6696, 0.4988, 0.1620)
Th (0.3304, 0.5012, 0.8380)

[2]
# GaBAs2

A relaxed structure of GaBAs2 (PBE-GGA, the Alexandria database).

Properties
Its space-group type is Fm-3m. For the uncorrected energy, the calculation gives -3.773 eV per atom. The crystal system is cubic. The value obtained for the calculated volume is 64.71 Å³ per cell.

abc: 4.5065 4.5065 4.5065
angles: 60.00 60.00 60.00
Atoms (fractional coordinates):
As (0.7500, 0.7500, 0.7500)
As (0.2500, 0.2500, 0.2500)
Ga (0.5000, 0.5000, 0.5000)
B (0.0000, 0.0000, 0.0000)

[3]
# TlCuC

A relaxed structure of TlCuC (PBE-GGA, the Alexandria database).

Properties
Its space-group type is P6_3/mmc. For the uncorrected energy, the calculation gives -2.899 eV per atom. The crystal system is hexagonal. The value obtained for the calculated volume is 150.99 Å³ per cell.

abc: 4.6033 4.6033 8.2276
angles: 90.00 90.00 120.00
Atoms (fractional coordinates):
Tl (0.0000, 0.0000, 0.2500)
Tl (0.0000, 0.0000, 0.7500)
Cu (0.6667, 0.3333, 0.7500)
Cu (0.3333, 0.6667, 0.2500)
C (0.0000, 0.0000, 0.0000)
C (0.0000, 0.0000, 0.5000)